# 1
DFT (GGA-PBE) results for a relaxed structure of CsRbAgHg.

The structure in POSCAR format:
```
CsRbAgHg
1.0
6.3633 0.0000 0.0000
3.1816 5.5108 0.0000
3.1816 1.8369 5.1956
Cs Rb Hg Ag
1 1 1 1
Direct
0.0000 0.0000 0.0000
0.5000 0.5000 0.5000
0.7500 0.7500 0.7500
0.2500 0.2500 0.2500
```

Total moment   0.000 Bohr magnetons per cell
E_form   -0.05 eV/atom
ΔE to the lowest computed polymorph   5.6 kJ/mol of atoms
Raw total energy   -1.291 eV per atom
SG   No. 216

---

# 2
DFT (GGA-PBE) results for a relaxed structure of Li2LaSc.

The structure in POSCAR format:
```
Li2LaSc
1.0
-5.6737 0.5948 -2.4569
-2.3422 -4.9716 -2.8945
2.1732 2.2686 5.3583
La Li Sc
1 2 1
Direct
0.2500 0.7500 0.5000
0.9868 0.9868 0.0000
0.5132 0.5132 0.0000
0.7500 0.2500 0.5000
```

Total moment   0.000 Bohr magnetons per cell
E_form   0.19 eV/atom
ΔE to the lowest computed polymorph   8.9 kJ/mol of atoms
Raw total energy   -3.580 eV per atom
SG   No. 71

---

# 3
DFT (GGA-PBE) results for a relaxed structure of La8PRu3Cl4.

The structure in POSCAR format:
```
La8PRu3Cl4
1.0
8.3739 0.0000 0.0000
0.0000 8.9503 0.3996
-4.1869 -4.1854 5.9223
La P Ru Cl
8 1 3 4
Direct
0.2398 0.7023 0.9628
0.2398 0.7022 0.4796
0.2612 0.2841 0.5224
0.7230 0.7023 0.9628
0.2770 0.2977 0.0372
0.7388 0.7159 0.4776
0.7602 0.2978 0.5204
0.7602 0.2977 0.0372
0.0000 0.5000 0.0000
0.5000 0.5000 0.0000
0.5000 0.5000 0.5000
0.0000 0.5000 0.5000
0.5000 0.0000 0.0000
0.5000 0.0000 0.5000
0.0000 0.0000 0.0000
0.0000 0.0000 0.5000
```

Total moment   0.001 Bohr magnetons per cell
Formation energy (no corrections)   -1.172 eV per atom
Raw total energy   -6.175 eV per atom
SG   No. 166

---

# 4
DFT (GGA-PBE) results for a relaxed structure of InCuF2.

The structure in POSCAR format:
```
InCuF2
1.0
1.2920 -0.7320 4.0910
-1.4946 -3.4658 2.1669
2.6604 -3.3303 0.8789
F Cu In
2 1 1
Direct
0.2500 0.2500 0.2500
0.7500 0.7500 0.7500
0.0000 0.0000 0.0000
0.5000 0.5000 0.5000
```

Total moment   0.000 Bohr magnetons per cell
ΔE to the lowest computed polymorph   19.5 kJ/mol of atoms
Formation energy (no corrections)   -1.024 eV per atom
Raw total energy   -3.668 eV per atom
SG   No. 225

---

# 5
DFT (GGA-PBE) results for a relaxed structure of BaLaPb2.

The structure in POSCAR format:
```
BaLaPb2
1.0
4.0810 -0.0188 0.0000
-0.5162 4.0483 0.0000
0.0000 0.0000 9.4887
Pb Ba La
2 1 1
Direct
0.0000 0.0000 0.0212
0.5000 0.5000 0.1989
0.0000 0.0000 0.4610
0.5000 0.5000 0.8190
```

Total moment   0.000 Bohr magnetons per cell
E_form   -0.17 eV/atom
Raw total energy   -3.733 eV per atom
SG   No. 35

---

# 6
DFT (GGA-PBE) results for a relaxed structure of Ga3SiRh6.

The structure in POSCAR format:
```
Ga3SiRh6
1.0
4.3387 0.0000 0.0000
0.0000 6.9352 -2.3739
0.0000 -0.0035 9.3014
Ga Si Rh
6 2 12
Direct
0.2500 0.5236 0.3802
0.7500 0.4764 0.6198
0.2500 0.3807 0.7922
0.7500 0.6193 0.2078
0.2500 0.7881 0.9809
0.7500 0.2119 0.0191
0.2500 0.9528 0.5932
0.7500 0.0472 0.4068
0.2500 0.4605 0.0870
0.7500 0.5395 0.9130
0.2500 0.1390 0.1740
0.7500 0.8610 0.8260
0.2500 0.6678 0.6735
0.7500 0.3322 0.3265
0.2500 0.2405 0.5009
0.7500 0.7595 0.4991
0.2500 0.8486 0.3210
0.7500 0.1514 0.6790
0.2500 0.0833 0.8615
0.7500 0.9167 0.1385
```

Total moment   0.000 Bohr magnetons per cell
Formation energy (no corrections)   -0.574 eV per atom
Raw total energy   -6.435 eV per atom
SG   No. 11

---

Which formula does entry 5 have? BaLaPb2